Below is a relaxed structure of NbZn2PF, with properties calculated at the PBE level.

Cell and atoms, written as POSCAR:
```
NbZn2PF
1.0
4.1038 0.0000 0.0000
0.0000 4.7492 0.0000
0.0000 0.0000 4.1038
F Zn Nb P
1 2 1 1
Direct
0.0000 0.0000 0.0000
0.5000 0.0000 0.0000
0.0000 0.0000 0.5000
0.0000 0.5000 0.0000
0.5000 0.5000 0.5000
```

Space group: P4/mmm, No. 123
ρ (g/cm3): 5.68
ΔE_f (raw) (eV per atom): 0.08
VASP energy (eV for the cell shown): -19.48
Magnetic moment (Bohr magnetons per cell): 0.9